Entry 1:
DFT (PBE) results for crystalline BaCuRu2 at its relaxed geometry.

Output
**Space group**: R-3m, No. 166
**Crystal system**: trigonal
**Energy**: -5.873 eV per atom
**Mass density**: 7.08 Mg/m³

a = 4.345 Å, b = 4.345 Å, c = 6.303 Å
α = 69.82°, β = 69.82°, γ = 60.01°
Positions (direct):
Cu: 0.250 0.250 0.250
Ru: 0.568 0.568 0.296
Ba: 0.750 0.750 0.750
Ru: 0.932 0.932 0.204

---

Entry 2:
DFT (PBE) results for crystalline SrBePt2 at its relaxed geometry.

Output
**Space group**: I-4m2, No. 119
**Crystal system**: tetragonal
**Energy**: -4.464 eV per atom
**Mass density**: 11.16 Mg/m³

a = 5.268 Å, b = 5.268 Å, c = 5.268 Å
α = 134.82°, β = 134.82°, γ = 65.80°
Positions (direct):
Pt: 0.000 0.000 0.000
Sr: 0.500 0.500 0.000
Be: 0.750 0.250 0.500
Pt: 0.250 0.750 0.500

---

Entry 3:
DFT (PBE) results for crystalline Dy3PuHg4 at its relaxed geometry.

Output
**Space group**: P4/mmm, No. 123
**Crystal system**: tetragonal
**Energy**: -4.053 eV per atom
**Mass density**: 12.28 Mg/m³

a = 3.706 Å, b = 3.706 Å, c = 15.100 Å
α = 90.00°, β = 90.00°, γ = 90.00°
Site moments in Bohr magnetons follow the coordinates.
Positions (direct):
Pu: 0.500 0.500 0.000  5.55
Hg: 0.000 0.000 0.624  0.00
Dy: 0.500 0.500 0.500  0.05
Hg: 0.000 0.000 0.376  0.00
Dy: 0.500 0.500 0.253  0.04
Hg: 0.000 0.000 0.134  0.01
Hg: 0.000 0.000 0.866  0.01
Dy: 0.500 0.500 0.747  0.04

---

mass density of number 3 (Dy3PuHg4)?
12.28 Mg/m³